(1)
Compound: Th3GaCo
Source: Alexandria
Functional: PBE-GGA
Structure: relaxed

Summary:
energy relative to the elements	-0.25	eV/atom
size of the total moment	0.000	μB/f.u.

Cell: 6.491 9.664 10.449 Å, 125.63 90.00 90.00°
Fractional coordinates of all 20 atoms:
1 Ga 0.145 0.024 0.427
2 Ga 0.645 0.476 0.073
3 Th 0.089 0.627 0.226
4 Th 0.598 0.647 0.445
5 Th 0.585 0.775 0.866
6 Ga 0.355 0.524 0.927
7 Ga 0.855 0.976 0.573
8 Th 0.402 0.353 0.555
9 Co 0.723 0.027 0.131
10 Th 0.589 0.873 0.274
11 Co 0.277 0.973 0.869
12 Th 0.415 0.225 0.134
13 Th 0.915 0.275 0.366
14 Th 0.902 0.147 0.945
15 Co 0.777 0.527 0.631
16 Th 0.411 0.127 0.726
17 Th 0.098 0.853 0.055
18 Co 0.223 0.473 0.369
19 Th 0.911 0.373 0.774
20 Th 0.085 0.725 0.634

(2)
Compound: ThGaCo3
Source: Alexandria
Functional: PBE-GGA
Structure: relaxed

Summary:
energy relative to the elements	-0.11	eV/atom
polymorph energy (0 for the lowest one)	12.1	kJ/mol of atoms
size of the total moment	2.082	μB/f.u.

Cell: 5.195 6.391 6.391 Å, 66.89 66.02 66.02°
Last column: magnetic moment on the atom in μB.
Fractional coordinates of all 10 atoms:
1 Co 0.625 0.875 0.375  1.09
2 Ga 0.500 0.000 0.000  -0.04
3 Th 0.250 0.670 0.830  -0.10
4 Co 0.875 0.125 0.625  1.09
5 Th 0.750 0.330 0.170  -0.10
6 Co 0.250 0.249 0.251  0.13
7 Co 0.375 0.125 0.625  1.09
8 Co 0.125 0.875 0.375  1.09
9 Co 0.750 0.751 0.749  0.13
10 Ga 0.000 0.500 0.500  -0.04

(3)
Compound: Th2TlGaCo
Source: Alexandria
Functional: PBE-GGA
Structure: relaxed

Summary:
energy relative to the elements	-0.26	eV/atom
size of the total moment	0.000	μB/f.u.

Cell: 4.285 8.584 8.723 Å, 130.32 90.00 90.00°
Fractional coordinates of all 10 atoms:
1 Co 0.250 0.714 0.782
2 Ga 0.750 0.502 0.107
3 Ga 0.250 0.498 0.893
4 Th 0.250 0.147 0.944
5 Th 0.750 0.853 0.056
6 Th 0.750 0.698 0.560
7 Tl 0.250 0.826 0.356
8 Th 0.250 0.302 0.440
9 Co 0.750 0.286 0.218
10 Tl 0.750 0.174 0.644

(4)
Compound: TmThGaCo
Source: Alexandria
Functional: PBE-GGA
Structure: relaxed

Summary:
energy relative to the elements	-0.26	eV/atom
size of the total moment	0.590	μB/f.u.

Cell: 4.983 4.983 4.983 Å, 60.00 60.00 60.00°
Last column: magnetic moment on the atom in μB.
Fractional coordinates of all 4 atoms:
1 Th 0.000 0.000 0.000  -0.11
2 Ga 0.250 0.250 0.250  0.05
3 Tm 0.500 0.500 0.500  -0.11
4 Co 0.750 0.750 0.750  0.85

(5)
Compound: YThGa2Co2
Source: Alexandria
Functional: PBE-GGA
Structure: relaxed

Summary:
energy relative to the elements	-0.45	eV/atom
size of the total moment	0.000	μB/f.u.

Cell: 4.225 4.225 7.465 Å, 90.00 90.00 120.00°
Fractional coordinates of all 6 atoms:
1 Co 0.333 0.667 0.764
2 Ga 0.667 0.333 0.736
3 Ga 0.333 0.667 0.264
4 Y 0.000 0.000 0.500
5 Th 0.000 0.000 0.000
6 Co 0.667 0.333 0.236

(6)
Compound: YThGaCo
Source: Alexandria
Functional: PBE-GGA
Structure: relaxed

Summary:
energy relative to the elements	-0.24	eV/atom
size of the total moment	0.734	μB/f.u.

Cell: 5.027 5.027 5.027 Å, 60.00 60.00 60.00°
Last column: magnetic moment on the atom in μB.
Fractional coordinates of all 4 atoms:
1 Th 0.250 0.250 0.250  -0.13
2 Ga 0.000 0.000 0.000  0.07
3 Co 0.500 0.500 0.500  1.04
4 Y 0.750 0.750 0.750  -0.09

(7)
Compound: Th2ZnGa2Co5
Source: Alexandria
Functional: PBE-GGA
Structure: relaxed

Summary:
energy relative to the elements	-0.13	eV/atom
size of the total moment	0.000	μB/f.u.

Cell: 3.488 9.575 9.575 Å, 90.00 90.00 90.00°
Fractional coordinates of all 20 atoms:
1 Co 0.500 0.789 0.936
2 Zn 0.000 0.500 0.500
3 Ga 0.000 0.383 0.117
4 Th 0.000 0.180 0.320
5 Co 0.500 0.436 0.289
6 Co 0.500 0.564 0.711
7 Co 0.500 0.936 0.211
8 Co 0.500 0.211 0.064
9 Ga 0.000 0.117 0.617
10 Co 0.500 0.500 0.000
11 Co 0.500 0.289 0.564
12 Co 0.500 0.000 0.500
13 Th 0.000 0.320 0.820
14 Ga 0.000 0.883 0.383
15 Co 0.500 0.064 0.789
16 Th 0.000 0.680 0.180
17 Ga 0.000 0.617 0.883
18 Zn 0.000 0.000 0.000
19 Th 0.000 0.820 0.680
20 Co 0.500 0.711 0.436

(8)
Compound: Th2ZnGaCo
Source: Alexandria
Functional: PBE-GGA
Structure: relaxed

Summary:
energy relative to the elements	-0.37	eV/atom
size of the total moment	0.000	μB/f.u.

Cell: 4.206 7.468 7.315 Å, 109.50 90.00 90.00°
Fractional coordinates of all 10 atoms:
1 Th 0.250 0.111 0.350
2 Co 0.750 0.110 0.095
3 Th 0.750 0.715 0.038
4 Zn 0.750 0.343 0.662
5 Ga 0.250 0.557 0.668
6 Co 0.250 0.890 0.905
7 Ga 0.750 0.443 0.332
8 Th 0.250 0.285 0.962
9 Th 0.750 0.889 0.650
10 Zn 0.250 0.657 0.338

(9)
Compound: TiGaCo3
Source: Alexandria
Functional: PBE-GGA
Structure: relaxed

Summary:
energy relative to the elements	0.95	eV/atom
polymorph energy (0 for the lowest one)	78.1	kJ/mol of atoms
size of the total moment	0.005	μB/f.u.

Cell: 4.242 4.242 4.242 Å, 90.00 90.00 90.00°
Fractional coordinates of all 5 atoms:
1 Co 0.000 0.000 0.500
2 Ga 0.500 0.500 0.500
3 Co 0.000 0.500 0.000
4 Ti 0.000 0.000 0.000
5 Co 0.500 0.000 0.000

(10)
Compound: Ti4GaCo5
Source: Alexandria
Functional: PBE-GGA
Structure: relaxed

Summary:
energy relative to the elements	-0.40	eV/atom
size of the total moment	2.976	μB/f.u.

Cell: 2.981 2.981 14.585 Å, 90.00 90.00 90.00°
Last column: magnetic moment on the atom in μB.
Fractional coordinates of all 10 atoms:
1 Co 0.500 0.500 0.706  0.84
2 Ti 0.000 0.000 0.398  -0.05
3 Co 0.500 0.500 0.294  0.84
4 Co 0.500 0.500 0.500  0.93
5 Co 0.500 0.500 0.097  0.35
6 Ti 0.000 0.000 0.193  -0.05
7 Ti 0.000 0.000 0.807  -0.05
8 Co 0.500 0.500 0.903  0.35
9 Ga 0.000 0.000 0.000  -0.01
10 Ti 0.000 0.000 0.602  -0.05

(11)
Compound: Ti7Ga2Co2
Source: Alexandria
Functional: PBE-GGA
Structure: relaxed

Summary:
energy relative to the elements	-0.27	eV/atom
size of the total moment	0.000	μB/f.u.

Cell: 3.028 8.233 8.233 Å, 61.70 79.40 79.40°
Fractional coordinates of all 11 atoms:
1 Co 0.267 0.319 0.148
2 Ti 0.500 0.038 0.962
3 Ga 0.000 0.765 0.235
4 Ga 0.500 0.359 0.641
5 Ti 0.633 0.467 0.268
6 Ti 0.825 0.066 0.284
7 Ti 0.844 0.427 0.886
8 Ti 0.156 0.114 0.573
9 Ti 0.175 0.716 0.934
10 Ti 0.367 0.732 0.533
11 Co 0.733 0.852 0.681

(12)
Compound: Ti5GaCo2
Source: Alexandria
Functional: PBE-GGA
Structure: relaxed

Summary:
energy relative to the elements	-0.22	eV/atom
size of the total moment	0.000	μB/f.u.

Cell: 2.991 7.554 7.554 Å, 48.05 78.58 78.58°
Fractional coordinates of all 8 atoms:
1 Ti 0.361 0.387 0.891
2 Ti 0.000 0.500 0.500
3 Co 0.783 0.717 0.717
4 Co 0.217 0.283 0.283
5 Ga 0.000 0.000 0.000
6 Ti 0.639 0.109 0.613
7 Ti 0.361 0.891 0.387
8 Ti 0.639 0.613 0.109

Look up the size of the total moment of the eleventh one. 0.000 μB/f.u.

The highest energy relative to the elements belongs to which entry? TiGaCo3